(1)
Compound: LiTaAs2
Source: the Alexandria database
Functional: GGA-PBEsol
Structure: relaxed

Summary:
ΔE to the lowest computed polymorph	0.052	eV per atom
symmetry	P4/mmm (123)
M_tot	0.0	Bohr magnetons per cell
theoretical density	8.64	Mg/m³
formation energy from the elements	-0.3943	eV/atom

The structure in CIF format:
```
data_LiTaAs2
_chemical_formula_sum 'Li1 Ta1 As2'
_symmetry_space_group_name_H-M 'P 1'
_symmetry_Int_Tables_number 1
_symmetry_space_group_name_Hall 'P 1'
_cell_length_a 3.311
_cell_length_b 3.311
_cell_length_c 5.917
_cell_angle_alpha 90.00
_cell_angle_beta 90.00
_cell_angle_gamma 90.00
loop_
_atom_site_label
_atom_site_fract_x
_atom_site_fract_y
_atom_site_fract_z
_atom_site_occupancy
As1 0.000 0.000 0.736 1
As2 0.000 0.000 0.264 1
Li1 0.500 0.500 0.000 1
Ta1 0.500 0.500 0.500 1
```



(2)
Compound: InBP2H5NO9
Source: the Alexandria database
Functional: GGA-PBEsol
Structure: relaxed

Summary:
electronic total energy	-6.634	eV per atom
symmetry	P-1 (2)
M_tot	0.0	Bohr magnetons per cell
theoretical density	3.11	Mg/m³

The structure in CIF format:
```
data_InBP2H5NO9
_chemical_formula_sum 'In2 B2 P4 H10 N2 O18'
_symmetry_space_group_name_H-M 'P 1'
_symmetry_Int_Tables_number 1
_symmetry_space_group_name_Hall 'P 1'
_cell_length_a 5.315
_cell_length_b 8.536
_cell_length_c 8.385
_cell_angle_alpha 87.36
_cell_angle_beta 80.76
_cell_angle_gamma 86.36
loop_
_atom_site_label
_atom_site_fract_x
_atom_site_fract_y
_atom_site_fract_z
_atom_site_occupancy
In1 0.280 0.681 0.785 1
In2 0.720 0.319 0.215 1
B1 0.104 0.776 0.430 1
B2 0.896 0.224 0.570 1
P1 0.203 0.084 0.311 1
P2 0.218 0.566 0.188 1
P3 0.782 0.434 0.812 1
P4 0.797 0.916 0.689 1
H1 0.187 0.217 0.810 1
H2 0.160 0.136 0.001 1
H3 0.357 0.048 0.845 1
H4 0.377 0.608 0.459 1
H5 0.433 0.220 0.919 1
H6 0.567 0.780 0.081 1
H7 0.623 0.392 0.541 1
H8 0.643 0.952 0.155 1
H9 0.840 0.864 0.999 1
H10 0.813 0.783 0.190 1
N1 0.284 0.155 0.893 1
N2 0.716 0.845 0.107 1
O1 0.069 0.431 0.149 1
O2 0.033 0.674 0.308 1
O3 0.135 0.167 0.475 1
O4 0.012 0.888 0.791 1
O5 0.317 0.668 0.036 1
O6 0.251 0.905 0.345 1
O7 0.267 0.684 0.529 1
O8 0.459 0.136 0.223 1
O9 0.447 0.512 0.276 1
O10 0.553 0.488 0.724 1
O11 0.541 0.864 0.777 1
O12 0.733 0.316 0.471 1
O13 0.749 0.095 0.655 1
O14 0.683 0.332 0.964 1
O15 0.988 0.112 0.209 1
O16 0.865 0.833 0.525 1
O17 0.967 0.326 0.692 1
O18 0.931 0.569 0.851 1
```



(3)
Compound: Sr2SiAg
Source: the Alexandria database
Functional: GGA-PBEsol
Structure: relaxed

Summary:
electronic total energy	-3.502	eV per atom
symmetry	R3m (160)
M_tot	0.0	Bohr magnetons per cell
theoretical density	3.83	Mg/m³

The structure in CIF format:
```
data_Sr2SiAg
_chemical_formula_sum 'Sr2 Si1 Ag1'
_symmetry_space_group_name_H-M 'P 1'
_symmetry_Int_Tables_number 1
_symmetry_space_group_name_Hall 'P 1'
_cell_length_a 4.416
_cell_length_b 4.416
_cell_length_c 8.381
_cell_angle_alpha 74.73
_cell_angle_beta 74.73
_cell_angle_gamma 60.00
loop_
_atom_site_label
_atom_site_fract_x
_atom_site_fract_y
_atom_site_fract_z
_atom_site_occupancy
Sr1 0.960 0.960 0.121 1
Sr2 0.791 0.791 0.628 1
Si1 0.208 0.208 0.376 1
Ag1 0.542 0.542 0.374 1
```



(4)
Compound: BaY2Ta
Source: the Alexandria database
Functional: GGA-PBEsol
Structure: relaxed

Summary:
symmetry	P4mm (99)
M_tot	0.0	Bohr magnetons per cell
theoretical density	7.06	Mg/m³
formation energy from the elements	0.5724	eV/atom

The structure in CIF format:
```
data_BaY2Ta
_chemical_formula_sum 'Ba1 Y2 Ta1'
_symmetry_space_group_name_H-M 'P 1'
_symmetry_Int_Tables_number 1
_symmetry_space_group_name_Hall 'P 1'
_cell_length_a 3.275
_cell_length_b 3.275
_cell_length_c 10.872
_cell_angle_alpha 90.00
_cell_angle_beta 90.00
_cell_angle_gamma 90.00
loop_
_atom_site_label
_atom_site_fract_x
_atom_site_fract_y
_atom_site_fract_z
_atom_site_occupancy
Ba1 0.000 0.000 0.527 1
Ta1 0.500 0.500 0.777 1
Y1 0.000 0.000 0.970 1
Y2 0.500 0.500 0.226 1
```



(5)
Compound: Na4ScIn3Si8O24
Source: the Alexandria database
Functional: GGA-PBEsol
Structure: relaxed

Summary:
electronic total energy	-7.371	eV per atom
symmetry	C2 (5)
M_tot	0.0	Bohr magnetons per cell
theoretical density	3.88	Mg/m³

The structure in CIF format:
```
data_Na4ScIn3Si8O24
_chemical_formula_sum 'Na4 Sc1 In3 Si8 O24'
_symmetry_space_group_name_H-M 'P 1'
_symmetry_Int_Tables_number 1
_symmetry_space_group_name_Hall 'P 1'
_cell_length_a 7.657
_cell_length_b 7.657
_cell_length_c 9.515
_cell_angle_alpha 103.09
_cell_angle_beta 110.18
_cell_angle_gamma 106.84
loop_
_atom_site_label
_atom_site_fract_x
_atom_site_fract_y
_atom_site_fract_z
_atom_site_occupancy
Na1 0.074 0.574 0.500 1
Na2 0.072 0.072 0.000 1
Na3 0.675 0.426 0.747 1
Na4 0.679 0.929 0.253 1
Sc1 0.481 0.981 0.500 1
In1 0.480 0.480 0.000 1
In2 0.271 0.019 0.749 1
In3 0.270 0.522 0.251 1
Si1 0.579 0.290 0.294 1
Si2 0.579 0.788 0.791 1
Si3 0.996 0.285 0.706 1
Si4 0.997 0.788 0.209 1
Si5 0.168 0.709 0.957 1
Si6 0.173 0.211 0.458 1
Si7 0.753 0.715 0.542 1
Si8 0.752 0.211 0.043 1
O1 0.490 0.099 0.333 1
O2 0.483 0.591 0.820 1
O3 0.766 0.157 0.667 1
O4 0.771 0.664 0.180 1
O5 0.263 0.906 0.928 1
O6 0.269 0.409 0.430 1
O7 0.978 0.839 0.570 1
O8 0.978 0.336 0.072 1
O9 0.714 0.482 0.464 1
O10 0.712 0.977 0.965 1
O11 0.017 0.250 0.536 1
O12 0.013 0.747 0.035 1
O13 0.034 0.518 0.786 1
O14 0.036 0.022 0.284 1
O15 0.738 0.752 0.716 1
O16 0.733 0.248 0.214 1
O17 0.411 0.341 0.168 1
O18 0.416 0.845 0.666 1
O19 0.174 0.244 0.832 1
O20 0.179 0.750 0.334 1
O21 0.337 0.657 0.083 1
O22 0.338 0.152 0.579 1
O23 0.574 0.759 0.421 1
O24 0.575 0.254 0.917 1
```



(6)
Compound: Tl2CoMo
Source: the Alexandria database
Functional: GGA-PBEsol
Structure: relaxed

Summary:
ΔE to the lowest computed polymorph	0.404	eV per atom
symmetry	I-4m2 (119)
M_tot	1.9	Bohr magnetons per cell
theoretical density	13.26	Mg/m³
formation energy from the elements	0.8395	eV/atom

The structure in CIF format:
```
data_Tl2CoMo
_chemical_formula_sum 'Tl2 Co1 Mo1'
_symmetry_space_group_name_H-M 'P 1'
_symmetry_Int_Tables_number 1
_symmetry_space_group_name_Hall 'P 1'
_cell_length_a 3.959
_cell_length_b 3.959
_cell_length_c 5.300
_cell_angle_alpha 111.93
_cell_angle_beta 111.93
_cell_angle_gamma 90.00
loop_
_atom_site_label
_atom_site_fract_x
_atom_site_fract_y
_atom_site_fract_z
_atom_site_occupancy
Tl1 0.000 0.000 0.000 1
Tl2 0.750 0.250 0.500 1
Co1 0.500 0.500 0.000 1
Mo1 0.250 0.750 0.500 1
```



What are the Fermi-level density of states values for these records? In order: 2.37; 0.00; 4.06; 5.73; 0.00; 5.55 states/eV/cell.